Record 1
! TbErFe4 | the Open Quantum Materials Database | GGA-PBE | optimized geometry; values from VASP
&SYSTEM
  ibrav = 0, nat = 6, ntyp = 3
/
ATOMIC_SPECIES
Tb 158.93 Tb.upf
Er 167.26 Er.upf
Fe 55.84 Fe.upf
ATOMIC_POSITIONS crystal
Tb 0.000 0.000 0.000
Er 0.250 0.250 0.250
Fe 0.125 0.625 0.625
Fe 0.625 0.125 0.625
Fe 0.625 0.625 0.125
Fe 0.625 0.625 0.625
CELL_PARAMETERS angstrom
0.000 3.606 3.606
3.606 0.000 3.606
3.606 3.606 0.000
! Theoretical density in g/cm³: 9.7
! E_form in meV per atom: -86

Record 2
! TbErTlFe2 | the Open Quantum Materials Database | GGA-PBE | optimized geometry; values from VASP
&SYSTEM
  ibrav = 0, nat = 5, ntyp = 4
/
ATOMIC_SPECIES
Tb 158.93 Tb.upf
Er 167.26 Er.upf
Tl 204.38 Tl.upf
Fe 55.84 Fe.upf
ATOMIC_POSITIONS crystal
Tb 0.000 0.000 0.000
Er 0.000 0.722 0.722
Tl 0.500 0.360 0.360
Fe 0.500 0.152 0.152
Fe 0.500 0.573 0.573
CELL_PARAMETERS angstrom
3.886 0.000 0.000
0.000 1.907 6.976
0.000 -1.907 6.976
! Theoretical density in g/cm³: 10.3
! Energy in eV/atom: -5.789

Record 3
! Er2FeTe6 | the Open Quantum Materials Database | GGA-PBE | optimized geometry; values from VASP
&SYSTEM
  ibrav = 0, nat = 9, ntyp = 3
/
ATOMIC_SPECIES
Er 167.26 Er.upf
Fe 55.84 Fe.upf
Te 127.60 Te.upf
ATOMIC_POSITIONS crystal
Er 0.333 0.667 0.000
Er 0.667 0.333 0.000
Fe 0.000 0.000 0.500
Te 0.000 0.230 0.000
Te 0.000 0.556 0.500
Te 0.230 0.000 0.000
Te 0.444 0.444 0.500
Te 0.556 0.000 0.500
Te 0.770 0.770 0.000
CELL_PARAMETERS angstrom
8.370 0.000 0.000
-4.185 7.248 0.000
0.000 0.000 3.923
! Theoretical density in g/cm³: 8.1
! Energy in eV/atom: -4.678

Record 4
! Er3FeTe5 | the Open Quantum Materials Database | GGA-PBE | optimized geometry; values from VASP
&SYSTEM
  ibrav = 0, nat = 9, ntyp = 3
/
ATOMIC_SPECIES
Er 167.26 Er.upf
Fe 55.84 Fe.upf
Te 127.60 Te.upf
ATOMIC_POSITIONS crystal
Er 0.000 0.649 0.000
Er 0.351 0.351 0.000
Er 0.649 0.000 0.000
Fe 0.000 0.000 0.000
Te 0.000 0.221 0.500
Te 0.221 0.000 0.500
Te 0.333 0.667 0.500
Te 0.667 0.333 0.500
Te 0.779 0.779 0.500
CELL_PARAMETERS angstrom
8.590 0.000 0.000
-4.295 7.440 0.000
0.000 0.000 3.697
! Theoretical density in g/cm³: 8.4
! Offset from the most stable computed form in eV per formula unit: 0.66

Record 5
! Er3FeTe5 | the Open Quantum Materials Database | GGA-PBE | optimized geometry; values from VASP
&SYSTEM
  ibrav = 0, nat = 9, ntyp = 3
/
ATOMIC_SPECIES
Er 167.26 Er.upf
Fe 55.84 Fe.upf
Te 127.60 Te.upf
ATOMIC_POSITIONS crystal
Er 0.000 0.260 0.000
Er 0.260 0.000 0.000
Er 0.740 0.740 0.000
Fe 0.000 0.000 0.500
Te 0.000 0.703 0.500
Te 0.297 0.297 0.500
Te 0.333 0.667 0.000
Te 0.667 0.333 0.000
Te 0.703 0.000 0.500
CELL_PARAMETERS angstrom
8.331 0.000 0.000
-4.166 7.215 0.000
0.000 0.000 4.291
! Theoretical density in g/cm³: 7.7
! Offset from the most stable computed form in eV per formula unit: 0.00

Record 6
! ErTlFeTe3 | the Open Quantum Materials Database | GGA-PBE | optimized geometry; values from VASP
&SYSTEM
  ibrav = 0, nat = 12, ntyp = 4
/
ATOMIC_SPECIES
Er 167.26 Er.upf
Tl 204.38 Tl.upf
Fe 55.84 Fe.upf
Te 127.60 Te.upf
ATOMIC_POSITIONS crystal
Er 0.000 0.000 0.000
Er 0.000 0.000 0.500
Tl 0.244 0.756 0.750
Tl 0.756 0.244 0.250
Fe 0.470 0.530 0.250
Fe 0.530 0.470 0.750
Te 0.073 0.927 0.250
Te 0.370 0.630 0.065
Te 0.370 0.630 0.435
Te 0.630 0.370 0.565
Te 0.630 0.370 0.935
Te 0.927 0.073 0.750
CELL_PARAMETERS angstrom
2.149 -7.873 0.000
2.149 7.873 0.000
0.000 0.000 11.291
! Theoretical density in g/cm³: 7.0
! Offset from the most stable computed form in eV per formula unit: 0.00